# 1
The following is a DFT calculation (PBE-GGA) of a relaxed Y2ZnSi2Ni5 crystal.

The structure in CIF format:
```
data_Y2ZnSi2Ni5
_chemical_formula_sum 'Y4 Zn2 Si4 Ni10'
_space_group_name_H-M_alt 'P 4/m b m'
_space_group_IT_number 127
_space_group_name_Hall '-P 4 2ab'
_cell_length_a 9.587
_cell_length_b 9.587
_cell_length_c 3.286
_cell_angle_alpha 90.00
_cell_angle_beta 90.00
_cell_angle_gamma 90.00
loop_
_atom_site_label
_atom_site_fract_x
_atom_site_fract_y
_atom_site_fract_z
Y1 0.179 0.321 0.000
Zn1 0.000 0.000 0.000
Si1 0.118 0.618 0.000
Ni1 0.000 0.500 0.500
Ni2 0.059 0.785 0.500
```

## Properties
ΔE_f (raw) = -0.4293 eV per atom
DFT total energy = -5.825 eV/atom

# 2
The following is a DFT calculation (PBE-GGA) of a relaxed Y2Zn2SiNi5 crystal.

The structure in CIF format:
```
data_Y2Zn2SiNi5
_chemical_formula_sum 'Y4 Zn4 Si2 Ni10'
_space_group_name_H-M_alt 'P 4/m b m'
_space_group_IT_number 127
_space_group_name_Hall '-P 4 2ab'
_cell_length_a 9.657
_cell_length_b 9.657
_cell_length_c 3.206
_cell_angle_alpha 90.00
_cell_angle_beta 90.00
_cell_angle_gamma 90.00
loop_
_atom_site_label
_atom_site_fract_x
_atom_site_fract_y
_atom_site_fract_z
Y1 0.174 0.326 0.000
Zn1 0.127 0.627 0.000
Si1 0.000 0.000 0.000
Ni1 0.000 0.500 0.500
Ni2 0.050 0.815 0.500
```

## Properties
ΔE_f (raw) = -0.3038 eV per atom
DFT total energy = -5.284 eV/atom

# 3
The following is a DFT calculation (PBE-GGA) of a relaxed Y2ZnSi4Ni3 crystal.

The structure in CIF format:
```
data_Y2ZnSi4Ni3
_chemical_formula_sum 'Y2 Zn1 Si4 Ni3'
_space_group_name_H-M_alt 'P -4 m 2'
_space_group_IT_number 115
_cell_length_a 3.979
_cell_length_b 3.979
_cell_length_c 9.741
_cell_angle_alpha 90.00
_cell_angle_beta 90.00
_cell_angle_gamma 90.00
loop_
_space_group_symop_operation_xyz
'x,y,z'
'y,-x,-z'
'-x,-y,z'
'-y,x,-z'
'-x,y,z'
'-y,-x,-z'
'x,-y,z'
'y,x,-z'
loop_
_atom_site_label
_atom_site_fract_x
_atom_site_fract_y
_atom_site_fract_z
Y1 0.000 0.500 0.244
Zn1 0.000 0.000 0.500
Si1 0.000 0.000 0.000
Si2 0.000 0.500 0.644
Si3 0.500 0.500 0.000
Ni1 0.000 0.500 0.880
Ni2 0.500 0.500 0.500
```

## Properties
ΔE_f (raw) = -0.7608 eV per atom
DFT total energy = -6.085 eV/atom

# 4
The following is a DFT calculation (PBE-GGA) of a relaxed Zn2SiNi2 crystal.

The structure in CIF format:
```
data_Zn2SiNi2
_chemical_formula_sum 'Zn4 Si2 Ni4'
_space_group_name_H-M_alt 'P 4/m b m'
_space_group_IT_number 127
_space_group_name_Hall '-P 4 2ab'
_cell_length_a 6.785
_cell_length_b 6.785
_cell_length_c 2.819
_cell_angle_alpha 90.00
_cell_angle_beta 90.00
_cell_angle_gamma 90.00
loop_
_atom_site_label
_atom_site_fract_x
_atom_site_fract_y
_atom_site_fract_z
Zn1 0.132 0.368 0.000
Si1 0.000 0.000 0.000
Ni1 0.165 0.665 0.500
```

## Properties
ΔE_f (raw) = 0.0358 eV per atom
DFT total energy = -3.871 eV/atom
offset from the most stable computed form = 251 meV per atom

# 5
The following is a DFT calculation (PBE-GGA) of a relaxed ZnSi2Ni2 crystal.

The structure in CIF format:
```
data_ZnSi2Ni2
_chemical_formula_sum 'Zn1 Si2 Ni2'
_space_group_name_H-M_alt 'P -3 m 1'
_space_group_IT_number 164
_space_group_name_Hall '-P 3 2"'
_cell_length_a 3.9972
_cell_length_b 3.9972
_cell_length_c 4.6468
_cell_angle_alpha 90.00
_cell_angle_beta 90.00
_cell_angle_gamma 120.00
loop_
_atom_site_label
_atom_site_fract_x
_atom_site_fract_y
_atom_site_fract_z
Zn1 0.0000 0.0000 0.0000
Si1 0.3333 0.6667 0.3451
Ni1 0.3333 0.6667 0.8316
```

## Properties
ΔE_f (raw) = -0.3649 eV per atom
DFT total energy = -5.101 eV/atom

# 6
The following is a DFT calculation (PBE-GGA) of a relaxed ZnSi2Ni2 crystal.

The structure in CIF format:
```
data_ZnSi2Ni2
_chemical_formula_sum 'Zn2 Si4 Ni4'
_space_group_name_H-M_alt 'P 4/m b m'
_space_group_IT_number 127
_space_group_name_Hall '-P 4 2ab'
_cell_length_a 6.960
_cell_length_b 6.960
_cell_length_c 2.591
_cell_angle_alpha 90.00
_cell_angle_beta 90.00
_cell_angle_gamma 90.00
loop_
_atom_site_label
_atom_site_fract_x
_atom_site_fract_y
_atom_site_fract_z
Zn1 0.000 0.000 0.000
Si1 0.163 0.337 0.500
Ni1 0.132 0.632 0.000
```

## Properties
ΔE_f (raw) = -0.1941 eV per atom
DFT total energy = -4.931 eV/atom

# 7
The following is a DFT calculation (PBE-GGA) of a relaxed ZnSi2Ni2 crystal.

The structure in CIF format:
```
data_ZnSi2Ni2
_chemical_formula_sum 'Zn2 Si4 Ni4'
_space_group_name_H-M_alt 'P 4/m b m'
_space_group_IT_number 127
_space_group_name_Hall '-P 4 2ab'
_cell_length_a 7.059
_cell_length_b 7.059
_cell_length_c 2.514
_cell_angle_alpha 90.00
_cell_angle_beta 90.00
_cell_angle_gamma 90.00
loop_
_atom_site_label
_atom_site_fract_x
_atom_site_fract_y
_atom_site_fract_z
Zn1 0.000 0.000 0.000
Si1 0.128 0.372 0.000
Ni1 0.168 0.668 0.500
```

## Properties
ΔE_f (raw) = -0.1938 eV per atom
DFT total energy = -4.930 eV/atom

# 8
The following is a DFT calculation (PBE-GGA) of a relaxed Zn3SiNi4 crystal.

The structure in CIF format:
```
data_Zn3SiNi4
_chemical_formula_sum 'Zn3 Si1 Ni4'
_space_group_name_H-M_alt 'P 4/m m m'
_space_group_IT_number 123
_space_group_name_Hall '-P 4 2'
_cell_length_a 2.717
_cell_length_b 2.717
_cell_length_c 12.921
_cell_angle_alpha 90.00
_cell_angle_beta 90.00
_cell_angle_gamma 90.00
loop_
_atom_site_label
_atom_site_fract_x
_atom_site_fract_y
_atom_site_fract_z
Zn1 0.000 0.000 0.000
Zn2 0.000 0.000 0.254
Si1 0.000 0.000 0.500
Ni1 0.500 0.500 0.127
Ni2 0.500 0.500 0.394
```

## Properties
ΔE_f (raw) = -0.3188 eV per atom
DFT total energy = -4.365 eV/atom

# 9
The following is a DFT calculation (PBE-GGA) of a relaxed ZnSi3Ni crystal.

The structure in CIF format:
```
data_ZnSi3Ni
_chemical_formula_sum 'Zn1 Si3 Ni1'
_space_group_name_H-M_alt 'P m -3 m'
_space_group_IT_number 221
_space_group_name_Hall '-P 4 2 3'
_cell_length_a 4.431
_cell_length_b 4.431
_cell_length_c 4.431
_cell_angle_alpha 90.00
_cell_angle_beta 90.00
_cell_angle_gamma 90.00
loop_
_atom_site_label
_atom_site_fract_x
_atom_site_fract_y
_atom_site_fract_z
Zn1 0.000 0.000 0.000
Si1 0.000 0.500 0.500
Ni1 0.500 0.500 0.500
```

## Properties
ΔE_f (raw) = 0.4471 eV per atom
DFT total energy = -4.218 eV/atom
offset from the most stable computed form = 0 meV per atom

# 10
The following is a DFT calculation (PBE-GGA) of a relaxed ZnSi2Ni4 crystal.

The structure in CIF format:
```
data_ZnSi2Ni4
_chemical_formula_sum 'Zn2 Si4 Ni8'
_space_group_name_H-M_alt 'I 4/m m m'
_space_group_IT_number 139
_space_group_name_Hall '-I 4 2'
_cell_length_a 4.260
_cell_length_b 4.260
_cell_length_c 11.513
_cell_angle_alpha 90.00
_cell_angle_beta 90.00
_cell_angle_gamma 90.00
loop_
_atom_site_label
_atom_site_fract_x
_atom_site_fract_y
_atom_site_fract_z
Zn1 0.000 0.000 0.000
Si1 0.000 0.000 0.392
Ni1 0.000 0.000 0.205
Ni2 0.000 0.500 0.000
```

## Properties
ΔE_f (raw) = 0.4332 eV per atom
DFT total energy = -4.602 eV/atom

# 11
The following is a DFT calculation (PBE-GGA) of a relaxed ZnSi2Ni3 crystal.

The structure in CIF format:
```
data_ZnSi2Ni3
_chemical_formula_sum 'Zn1 Si2 Ni3'
_space_group_name_H-M_alt 'P 6/m m m'
_space_group_IT_number 191
_space_group_name_Hall '-P 6 2'
_cell_length_a 4.9715
_cell_length_b 4.9715
_cell_length_c 3.7203
_cell_angle_alpha 90.00
_cell_angle_beta 90.00
_cell_angle_gamma 120.00
loop_
_atom_site_label
_atom_site_fract_x
_atom_site_fract_y
_atom_site_fract_z
Zn1 0.0000 0.0000 0.0000
Si1 0.3333 0.6667 0.5000
Ni1 0.0000 0.5000 0.0000
```

## Properties
ΔE_f (raw) = -0.4190 eV per atom
DFT total energy = -5.330 eV/atom
offset from the most stable computed form = 18 meV per atom

# 12
The following is a DFT calculation (PBE-GGA) of a relaxed ZnSiNi5 crystal.

The structure in CIF format:
```
data_ZnSiNi5
_chemical_formula_sum 'Zn1 Si1 Ni5'
_space_group_name_H-M_alt 'P 4/m m m'
_space_group_IT_number 123
_space_group_name_Hall '-P 4 2'
_cell_length_a 3.660
_cell_length_b 3.660
_cell_length_c 6.224
_cell_angle_alpha 90.00
_cell_angle_beta 90.00
_cell_angle_gamma 90.00
loop_
_atom_site_label
_atom_site_fract_x
_atom_site_fract_y
_atom_site_fract_z
Zn1 0.000 0.000 0.000
Si1 0.500 0.500 0.500
Ni1 0.000 0.500 0.282
Ni2 0.500 0.500 0.000
```

## Properties
ΔE_f (raw) = -0.2269 eV per atom
DFT total energy = -5.313 eV/atom
offset from the most stable computed form = 0 meV per atom

# 13
The following is a DFT calculation (PBE-GGA) of a relaxed ZnSi4Ni crystal.

The structure in CIF format:
```
data_ZnSi4Ni
_chemical_formula_sum 'Zn4 Si16 Ni4'
_space_group_name_H-M_alt 'F -4 3 m'
_space_group_IT_number 216
_space_group_name_Hall 'F -4 2 3'
_cell_length_a 7.054
_cell_length_b 7.054
_cell_length_c 7.054
_cell_angle_alpha 90.00
_cell_angle_beta 90.00
_cell_angle_gamma 90.00
loop_
_atom_site_label
_atom_site_fract_x
_atom_site_fract_y
_atom_site_fract_z
Zn1 0.000 0.000 0.000
Si1 0.125 0.125 0.375
Ni1 0.250 0.250 0.750
```

## Properties
ΔE_f (raw) = 0.4863 eV per atom
DFT total energy = -4.305 eV/atom

# 14
The following is a DFT calculation (PBE-GGA) of a relaxed Zn4SiNi15 crystal.

The structure in CIF format:
```
data_Zn4SiNi15
_chemical_formula_sum 'Zn4 Si1 Ni15'
_space_group_name_H-M_alt 'P 4/m m m'
_space_group_IT_number 123
_space_group_name_Hall '-P 4 2'
_cell_length_a 3.561
_cell_length_b 3.561
_cell_length_c 17.863
_cell_angle_alpha 90.00
_cell_angle_beta 90.00
_cell_angle_gamma 90.00
loop_
_atom_site_label
_atom_site_fract_x
_atom_site_fract_y
_atom_site_fract_z
Zn1 0.000 0.000 0.101
Zn2 0.000 0.000 0.302
Si1 0.000 0.000 0.500
Ni1 0.000 0.500 0.000
Ni2 0.000 0.500 0.201
Ni3 0.000 0.500 0.405
Ni4 0.500 0.500 0.101
Ni5 0.500 0.500 0.303
Ni6 0.500 0.500 0.500
```

## Properties
ΔE_f (raw) = -0.1737 eV per atom
DFT total energy = -5.036 eV/atom

# 15
The following is a DFT calculation (PBE-GGA) of a relaxed Zn3SiNi3 crystal.

The structure in CIF format:
```
data_Zn3SiNi3
_chemical_formula_sum 'Zn9 Si3 Ni9'
_space_group_name_H-M_alt 'R -3 m'
_space_group_IT_number 166
_space_group_name_Hall '-R 3 2"'
_cell_length_a 7.9426
_cell_length_b 7.9426
_cell_length_c 5.0400
_cell_angle_alpha 90.00
_cell_angle_beta 90.00
_cell_angle_gamma 120.00
loop_
_atom_site_label
_atom_site_fract_x
_atom_site_fract_y
_atom_site_fract_z
Zn1 0.0000 0.5000 0.0000
Si1 0.0000 0.0000 0.0000
Ni1 0.0000 0.5000 0.5000
```

## Properties
ΔE_f (raw) = -0.2408 eV per atom
DFT total energy = -4.039 eV/atom

# 16
The following is a DFT calculation (PBE-GGA) of a relaxed ZnSi2Ni7 crystal.

The structure in CIF format:
```
data_ZnSi2Ni7
_chemical_formula_sum 'Zn2 Si4 Ni14'
_space_group_name_H-M_alt 'I 4/m m m'
_space_group_IT_number 139
_space_group_name_Hall '-I 4 2'
_cell_length_a 3.700
_cell_length_b 3.700
_cell_length_c 17.647
_cell_angle_alpha 90.00
_cell_angle_beta 90.00
_cell_angle_gamma 90.00
loop_
_atom_site_label
_atom_site_fract_x
_atom_site_fract_y
_atom_site_fract_z
Zn1 0.000 0.000 0.000
Si1 0.000 0.000 0.328
Ni1 0.000 0.000 0.500
Ni2 0.000 0.500 0.098
Ni3 0.000 0.500 0.250
```

## Properties
ΔE_f (raw) = -0.2969 eV per atom
DFT total energy = -5.556 eV/atom

# 17
The following is a DFT calculation (PBE-GGA) of a relaxed ZnSi2Ni3 crystal.

The structure in CIF format:
```
data_ZnSi2Ni3
_chemical_formula_sum 'Zn4 Si8 Ni12'
_space_group_name_H-M_alt 'P 1'
_space_group_IT_number 1
_cell_length_a 4.532
_cell_length_b 4.542
_cell_length_c 13.644
_cell_angle_alpha 88.44
_cell_angle_beta 89.37
_cell_angle_gamma 89.23
loop_
_space_group_symop_operation_xyz
'x,y,z'
loop_
_atom_site_label
_atom_site_fract_x
_atom_site_fract_y
_atom_site_fract_z
Zn1 0.000 0.000 0.000
Zn2 0.002 0.975 0.336
Zn3 0.495 0.819 0.433
Zn4 0.996 0.012 0.668
Si1 0.302 0.500 0.938
Si2 0.303 0.509 0.603
Si3 0.306 0.490 0.274
Si4 0.494 0.824 0.767
Si5 0.499 0.811 0.098
Si6 0.800 0.302 0.497
Si7 0.813 0.306 0.833
Si8 0.822 0.296 0.165
Ni1 0.005 0.786 0.836
Ni2 0.012 0.775 0.169
Ni3 0.283 0.314 0.438
Ni4 0.305 0.318 0.770
Ni5 0.311 0.309 0.100
Ni6 0.501 0.024 0.601
Ni7 0.505 0.009 0.926
Ni8 0.508 0.003 0.253
Ni9 0.776 0.518 0.672
Ni10 0.784 0.506 0.002
Ni11 0.788 0.481 0.331
Ni12 0.993 0.782 0.510
```

## Properties
ΔE_f (raw) = -0.4375 eV per atom
DFT total energy = -5.348 eV/atom
offset from the most stable computed form = 0 meV per atom

# 18
The following is a DFT calculation (PBE-GGA) of a relaxed Zn3SiNi6 crystal.

The structure in CIF format:
```
data_Zn3SiNi6
_chemical_formula_sum 'Zn6 Si2 Ni12'
_space_group_name_H-M_alt 'P 1 21/m 1'
_space_group_IT_number 11
_cell_length_a 7.649
_cell_length_b 3.728
_cell_length_c 8.199
_cell_angle_alpha 90.00
_cell_angle_beta 95.60
_cell_angle_gamma 90.00
loop_
_space_group_symop_operation_xyz
'x,y,z'
'-x,-y,-z'
'-x,y+1/2,-z'
'x,-y+1/2,z'
loop_
_atom_site_label
_atom_site_fract_x
_atom_site_fract_y
_atom_site_fract_z
Zn1 0.050 0.250 0.401
Zn2 0.154 0.750 0.206
Zn3 0.255 0.250 0.002
Si1 0.436 0.250 0.623
Ni1 0.050 0.750 0.901
Ni2 0.153 0.250 0.701
Ni3 0.277 0.750 0.508
Ni4 0.347 0.750 0.808
Ni5 0.375 0.250 0.324
Ni6 0.451 0.750 0.104
```

## Properties
ΔE_f (raw) = -0.3022 eV per atom
DFT total energy = -4.695 eV/atom

# 19
The following is a DFT calculation (PBE-GGA) of a relaxed ZnSiNi5 crystal.

The structure in CIF format:
```
data_ZnSiNi5
_chemical_formula_sum 'Zn4 Si4 Ni20'
_space_group_name_H-M_alt 'C 1 2/c 1'
_space_group_IT_number 15
_cell_length_a 7.933
_cell_length_b 4.504
_cell_length_c 9.304
_cell_angle_alpha 90.00
_cell_angle_beta 92.74
_cell_angle_gamma 90.00
loop_
_space_group_symop_operation_xyz
'x,y,z'
'-x,-y,-z'
'-x,y,-z+1/2'
'x,-y,z+1/2'
'x+1/2,y+1/2,z'
'-x+1/2,-y+1/2,-z'
'-x+1/2,y+1/2,-z+1/2'
'x+1/2,-y+1/2,z+1/2'
loop_
_atom_site_label
_atom_site_fract_x
_atom_site_fract_y
_atom_site_fract_z
Zn1 0.000 0.000 0.000
Si1 0.000 0.302 0.250
Ni1 0.000 0.202 0.750
Ni2 0.157 0.482 0.558
Ni3 0.245 0.040 0.182
```

## Properties
ΔE_f (raw) = -0.1243 eV per atom
DFT total energy = -5.210 eV/atom
offset from the most stable computed form = 103 meV per atom

# 20
The following is a DFT calculation (PBE-GGA) of a relaxed Zn2SiNi2 crystal.

The structure in CIF format:
```
data_Zn2SiNi2
_chemical_formula_sum 'Zn4 Si2 Ni4'
_space_group_name_H-M_alt 'P 4/m b m'
_space_group_IT_number 127
_space_group_name_Hall '-P 4 2ab'
_cell_length_a 5.885
_cell_length_b 5.885
_cell_length_c 3.797
_cell_angle_alpha 90.00
_cell_angle_beta 90.00
_cell_angle_gamma 90.00
loop_
_atom_site_label
_atom_site_fract_x
_atom_site_fract_y
_atom_site_fract_z
Zn1 0.156 0.344 0.000
Si1 0.000 0.000 0.500
Ni1 0.151 0.651 0.500
```

## Properties
ΔE_f (raw) = -0.2150 eV per atom
DFT total energy = -4.122 eV/atom
offset from the most stable computed form = 0 meV per atom